This record from Alexandria describes La2TlAgS4 after structural relaxation. The functional is PBE.

Structure (CIF):
```
data_La2TlAgS4
_symmetry_space_group_name_H-M 'C m c m'
_symmetry_Int_Tables_number 63
_symmetry_space_group_name_Hall '-C 2c 2'
_cell_length_a 4.246
_cell_length_b 14.051
_cell_length_c 14.669
_cell_angle_alpha 90.00
_cell_angle_beta 90.00
_cell_angle_gamma 90.00
loop_
_atom_site_label
_atom_site_type_symbol
_atom_site_fract_x
_atom_site_fract_y
_atom_site_fract_z
La1 La 0.000 0.132 0.064
Tl1 Tl 0.000 0.391 0.250
Ag1 Ag 0.000 0.335 0.750
S1 S 0.000 0.061 0.250
S2 S 0.000 0.237 0.605
S3 S 0.000 0.500 0.000
```

Values from the calculation:
The calculation puts the total energy at -5.409 eV/atom. As for the size of the total moment: 0.00 μB per formula unit. The value obtained for the raw formation energy is -1128 kJ/mol of formula units.